Computed, not measured: a relaxed structure of Nd3FeBi at the PBE level of DFT.

The calculation puts the total magnetization at 0.00 μB per formula unit. The density of states at the Fermi level is 5.86 states/eV per cell. The electronic total energy is -27.721 eV for the cell shown. The calculation puts the formation energy at -1.1 eV/f.u.

It has space group Pm-3m (No. 221), with a = 5.2632 Å, b = 5.2632 Å, c = 5.2632 Å, α = 90.00°, β = 90.00° and γ = 90.00°. The distinct sites, in fractional coordinates, are Nd at (0.0000, 0.0000, 0.5000), Fe at (0.0000, 0.0000, 0.0000) and Bi at (0.5000, 0.5000, 0.5000).